# MnAl4Rh5

A relaxed structure of MnAl4Rh5 (PBE-GGA, Alexandria).

Lattice parameters (Å, degrees): 3.009 3.009 15.120 90.00 90.00 90.00
Fractional positions:
Mn 0.000 0.000 0.000
Al 0.000 0.000 0.199
Al 0.000 0.000 0.400
Al 0.000 0.000 0.600
Al 0.000 0.000 0.801
Rh 0.500 0.500 0.106
Rh 0.500 0.500 0.303
Rh 0.500 0.500 0.500
Rh 0.500 0.500 0.697
Rh 0.500 0.500 0.894

Summary:
For the calculated density, the calculation gives 8.2 g/cm³. The symmetry is No. 123. For the total energy, the calculation gives -7.0212 eV/atom. The value obtained for the calculated formation energy is -0.9314 eV/atom.

***

# Mn2AlRh2

A relaxed structure of Mn2AlRh2 (PBE-GGA, Alexandria).

Lattice parameters (Å, degrees): 7.431 7.431 7.431 156.07 156.07 34.09
Fractional positions:
Mn 0.250 0.750 0.500
Mn 0.750 0.250 0.500
Al 0.000 0.000 0.000
Rh 0.400 0.400 0.000
Rh 0.600 0.600 0.000

Summary:
For the calculated density, the calculation gives 8.4 g/cm³. The symmetry is No. 139. For the total energy, the calculation gives -7.4481 eV/atom. The value obtained for the calculated formation energy is -0.0912 eV/atom.

***

# MnAlRh2

A relaxed structure of MnAlRh2 (PBE-GGA, Alexandria).

Lattice parameters (Å, degrees): 4.466 4.466 4.804 102.03 102.03 37.07
Fractional positions:
Mn 0.000 0.000 0.000
Al 0.500 0.500 0.500
Rh 0.245 0.245 0.748
Rh 0.755 0.755 0.252

Summary:
For the calculated density, the calculation gives 8.5 g/cm³. The symmetry is No. 12. For the total energy, the calculation gives -7.3226 eV/atom. The value obtained for the calculated formation energy is -0.4188 eV/atom.

***

What did the first record say?
# MnAl4Rh5

A relaxed structure of MnAl4Rh5 (PBE-GGA, Alexandria).

Lattice parameters (Å, degrees): 3.009 3.009 15.120 90.00 90.00 90.00
Fractional positions:
Mn 0.000 0.000 0.000
Al 0.000 0.000 0.199
Al 0.000 0.000 0.400
Al 0.000 0.000 0.600
Al 0.000 0.000 0.801
Rh 0.500 0.500 0.106
Rh 0.500 0.500 0.303
Rh 0.500 0.500 0.500
Rh 0.500 0.500 0.697
Rh 0.500 0.500 0.894

Summary:
For the calculated density, the calculation gives 8.2 g/cm³. The symmetry is No. 123. For the total energy, the calculation gives -7.0212 eV/atom. The value obtained for the calculated formation energy is -0.9314 eV/atom.